Run w
8
Lattice="-2.467 -4.913 -4.496 3.175 -5.083 3.812 -3.659 -5.468 2.373" Properties=species:S:1:pos:R:3 comment="GGA-PBE InS2I, optimized geometry" volume_a3_per_atom=30.70 dos_ef_per_ev_atom=1.352 pbc="T T T"
I 0.000 0.000 0.000
I -2.886 -7.690 -1.232
S -1.903 -4.760 -1.454
S 0.604 -5.471 2.128
S -2.277 -8.173 1.766
S -2.327 -12.524 0.939
In 0.354 -4.998 -0.342
In -0.065 -7.774 2.922

Run x
4
Lattice="2.330 0.000 7.958 -1.165 2.018 7.958 -1.165 -2.018 7.958" Properties=species:S:1:pos:R:3 comment="GGA-PBE InS2I, optimized geometry" volume_a3_per_atom=28.07 dos_ef_per_ev_atom=0.075 pbc="T T T"
I 0.000 0.000 0.000
S 0.000 0.000 21.233
S 0.000 0.000 2.640
In 0.000 0.000 11.937

It turns out run x is the most stable, with the second structure 368 meV/atom higher.

Run w
4
Lattice="0.000 3.553 3.553 3.553 0.000 3.553 3.553 3.553 0.000" Properties=species:S:1:pos:R:3 comment="GGA-PBE InS2I, optimized geometry" volume_a3_per_atom=22.43 dos_ef_per_ev_atom=0.854 pbc="T T T"
I 3.553 3.553 3.553
S 1.777 1.777 1.777
S 5.330 5.330 5.330
In 0.000 0.000 0.000

Run x
4
Lattice="3.313 0.000 3.487 -1.656 2.869 3.487 -1.656 -2.869 3.487" Properties=species:S:1:pos:R:3 comment="GGA-PBE InS2I, optimized geometry" volume_a3_per_atom=24.86 dos_ef_per_ev_atom=0.530 pbc="T T T"
I 0.000 0.000 5.231
S 0.000 0.000 7.804
S 0.000 0.000 2.657
In 0.000 0.000 0.000

It turns out run x is the most stable, with the second structure 161 meV/atom higher.